A plane-wave DFT calculation with meta-GGA SCAN was carried out for a PBEsol-optimized structure of CdPb.

The formation energy from the elements is 0.075 eV per atom. The volume is 25.83 Å³/atom. As for the uncorrected energy: -53.023 eV/atom.

The structure belongs to space group I4_1/amd (No. 141, origin choice 2); the cell edges are 4.7136, 4.7136 and 9.2990 Å and the angles 90.00°, 90.00° and 90.00°. Symmetry generates all atoms from Cd at (0.0000, 0.2500, 0.3750) and Pb at (0.0000, 0.2500, 0.8750).



A plane-wave DFT calculation with meta-GGA SCAN was carried out for a PBEsol-optimized structure of Cd4Pb.

For the energy above the most stable polymorph in this dataset, the calculation gives 38 meV per atom. The formation energy from the elements is 0.101 eV per atom. The volume is 24.22 Å³/atom. As for the uncorrected energy: -39.386 eV/atom.

The structure belongs to space group I-43m (No. 217); the cell edges are 9.8953, 9.8953 and 9.8953 Å and the angles 90.00°, 90.00° and 90.00°. Symmetry generates all atoms from Cd at (0.0000, 0.0000, 0.3490), Cd at (0.0000, 0.2500, 0.5000), Cd at (0.1109, 0.1109, 0.1109) and Pb at (0.2097, 0.2097, 0.7903).



A plane-wave DFT calculation with meta-GGA SCAN was carried out for a PBEsol-optimized structure of CdPb.

The formation energy from the elements is 0.075 eV per atom. The volume is 26.14 Å³/atom. As for the uncorrected energy: -53.023 eV/atom.

The structure belongs to space group Cmme (No. 67); the cell edges are 3.3973, 5.7557 and 10.6959 Å and the angles 90.00°, 90.00° and 90.00°. Symmetry generates all atoms from Cd at (0.0000, 0.2500, 0.1101) and Pb at (0.0000, 0.2500, 0.6433).



A plane-wave DFT calculation with meta-GGA SCAN was carried out for a PBEsol-optimized structure of Cd2Pb.

The formation energy from the elements is 0.116 eV per atom. The volume is 25.79 Å³/atom. As for the uncorrected energy: -45.421 eV/atom.

The structure belongs to space group Imma (No. 74); the cell edges are 3.3348, 5.1826 and 17.9044 Å and the angles 90.00°, 90.00° and 90.00°. Symmetry generates all atoms from Cd at (0.0000, 0.2500, 0.0309), Cd at (0.0000, 0.2500, 0.1866) and Pb at (0.0000, 0.2500, 0.6253).



A plane-wave DFT calculation with meta-GGA SCAN was carried out for a PBEsol-optimized structure of CdPb.

The formation energy from the elements is 0.204 eV per atom. The volume is 33.18 Å³/atom. As for the uncorrected energy: -52.893 eV/atom.

The structure belongs to space group P6_3/mmc (No. 194); the cell edges are 5.0532, 5.0532 and 6.0013 Å and the angles 90.00°, 90.00° and 120.00°. Symmetry generates all atoms from Cd at (0.3333, 0.6667, 0.2500) and Pb at (0.3333, 0.6667, 0.7500).



A plane-wave DFT calculation with meta-GGA SCAN was carried out for a PBEsol-optimized structure of CdPb3.

The formation energy from the elements is 0.056 eV per atom. The volume is 27.84 Å³/atom. As for the uncorrected energy: -64.384 eV/atom.

The structure belongs to space group I4/mmm (No. 139); the cell edges are 4.7139, 4.7139 and 10.0243 Å and the angles 90.00°, 90.00° and 90.00°. Symmetry generates all atoms from Cd at (0.0000, 0.0000, 0.0000), Pb at (0.0000, 0.0000, 0.5000) and Pb at (0.0000, 0.5000, 0.2500).



A plane-wave DFT calculation with meta-GGA SCAN was carried out for a PBEsol-optimized structure of CdPb.

The formation energy from the elements is 0.098 eV per atom. The volume is 26.43 Å³/atom. As for the uncorrected energy: -53.000 eV/atom.

The structure belongs to space group P2_13 (No. 198); the cell edges are 5.9575, 5.9575 and 5.9575 Å and the angles 90.00°, 90.00° and 90.00°. Symmetry generates all atoms from Cd at (0.0956, 0.4044, 0.5956) and Pb at (0.0995, 0.9005, 0.4005).



A plane-wave DFT calculation with meta-GGA SCAN was carried out for a PBEsol-optimized structure of CdPb.

The formation energy from the elements is 0.086 eV per atom. The volume is 25.94 Å³/atom. As for the uncorrected energy: -53.012 eV/atom.

The structure belongs to space group Pnma (No. 62); the cell edges are 6.0588, 5.3574 and 6.3933 Å and the angles 90.00°, 90.00° and 90.00°. Symmetry generates all atoms from Cd at (0.0845, 0.2500, 0.1241) and Pb at (0.1066, 0.2500, 0.6238).



A plane-wave DFT calculation with meta-GGA SCAN was carried out for a PBEsol-optimized structure of Cd4Pb5.

For the energy above the most stable polymorph in this dataset, the calculation gives 29 meV per atom. The formation energy from the elements is 0.101 eV per atom. The volume is 26.52 Å³/atom. As for the uncorrected energy: -55.518 eV/atom.

The structure belongs to space group P6_3/mcm (No. 193); the cell edges are 9.3324, 9.3324 and 6.3280 Å and the angles 90.00°, 90.00° and 120.00°. Symmetry generates all atoms from Cd at (0.0000, 0.0000, 0.0000), Cd at (0.0000, 0.3634, 0.2500), Pb at (0.0000, 0.2986, 0.7500) and Pb at (0.3333, 0.6667, 0.0000).



A plane-wave DFT calculation with meta-GGA SCAN was carried out for a PBEsol-optimized structure of CdPb3.

The formation energy from the elements is 0.044 eV per atom. The volume is 27.80 Å³/atom. As for the uncorrected energy: -64.395 eV/atom.

The structure belongs to space group P2/m (No. 10); the cell edges are 3.4826, 4.6117 and 6.9395 Å and the angles 90.00°, 93.86° and 90.00°. Symmetry generates all atoms from Cd at (0.0000, 0.0000, 0.0000), Pb at (0.0000, 0.0000, 0.5000) and Pb at (0.4731, 0.5000, 0.2348).



A plane-wave DFT calculation with meta-GGA SCAN was carried out for a PBEsol-optimized structure of CdPb.

The formation energy from the elements is 0.083 eV per atom. The volume is 25.92 Å³/atom. As for the uncorrected energy: -53.015 eV/atom.

The structure belongs to space group R-3m (No. 166, hexagonal axes); the cell edges are 3.3815, 3.3815 and 15.7059 Å and the angles 90.00°, 90.00° and 120.00°. Symmetry generates all atoms from Cd at (0.0000, 0.0000, 0.0000) and Pb at (0.0000, 0.0000, 0.5000).



A plane-wave DFT calculation with meta-GGA SCAN was carried out for a PBEsol-optimized structure of CdPb.

The formation energy from the elements is 0.061 eV per atom. The volume is 25.71 Å³/atom. As for the uncorrected energy: -53.037 eV/atom.

The structure belongs to space group P4/nmm (No. 129, origin choice 2); the cell edges are 3.6571, 3.6571 and 7.6906 Å and the angles 90.00°, 90.00° and 90.00°. Symmetry generates all atoms from Cd at (0.2500, 0.2500, 0.1001) and Pb at (0.2500, 0.2500, 0.6552).



A plane-wave DFT calculation with meta-GGA SCAN was carried out for a PBEsol-optimized structure of CdPb3.

The formation energy from the elements is 0.081 eV per atom. The volume is 27.80 Å³/atom. As for the uncorrected energy: -64.359 eV/atom.

The structure belongs to space group P4/mmm (No. 123); the cell edges are 5.5835, 5.5835 and 3.5675 Å and the angles 90.00°, 90.00° and 90.00°. Symmetry generates all atoms from Cd at (0.0000, 0.0000, 0.0000), Pb at (0.0000, 0.5000, 0.5000) and Pb at (0.5000, 0.5000, 0.0000).



A plane-wave DFT calculation with meta-GGA SCAN was carried out for a PBEsol-optimized structure of CdPb.

The formation energy from the elements is 0.095 eV per atom. The volume is 26.10 Å³/atom. As for the uncorrected energy: -53.002 eV/atom.

The structure belongs to space group P-6m2 (No. 187); the cell edges are 3.3895, 3.3895 and 5.2460 Å and the angles 90.00°, 90.00° and 120.00°. Symmetry generates all atoms from Cd at (0.0000, 0.0000, 0.0000) and Pb at (0.3333, 0.6667, 0.5000).



A plane-wave DFT calculation with meta-GGA SCAN was carried out for a PBEsol-optimized structure of Cd2Pb.

The formation energy from the elements is 0.066 eV per atom. The volume is 24.56 Å³/atom. As for the uncorrected energy: -45.471 eV/atom.

The structure belongs to space group Cmcm (No. 63); the cell edges are 11.7828, 5.2960 and 4.7225 Å and the angles 90.00°, 90.00° and 90.00°. Symmetry generates all atoms from Cd at (0.1847, 0.1756, 0.2500) and Pb at (0.0000, 0.2791, 0.7500).



A plane-wave DFT calculation with meta-GGA SCAN was carried out for a PBEsol-optimized structure of CdPb.

The formation energy from the elements is 0.063 eV per atom. The volume is 25.67 Å³/atom. As for the uncorrected energy: -53.035 eV/atom.

The structure belongs to space group C2/m (No. 12); the cell edges are 11.2908, 3.3370 and 5.6550 Å and the angles 90.00°, 105.46° and 90.00°. Symmetry generates all atoms from Cd at (0.1407, 0.0000, 0.3628) and Pb at (0.1138, 0.5000, 0.8433).



A plane-wave DFT calculation with meta-GGA SCAN was carried out for a PBEsol-optimized structure of CdPb3.

The formation energy from the elements is 0.054 eV per atom. The volume is 27.92 Å³/atom. As for the uncorrected energy: -64.385 eV/atom.

The structure belongs to space group Cmmm (No. 65); the cell edges are 6.8625, 9.6097 and 3.3871 Å and the angles 90.00°, 90.00° and 90.00°. Symmetry generates all atoms from Cd at (0.0000, 0.0000, 0.0000), Pb at (0.0000, 0.5000, 0.0000) and Pb at (0.2500, 0.2500, 0.5000).



A plane-wave DFT calculation with meta-GGA SCAN was carried out for a PBEsol-optimized structure of CdPb5.

The formation energy from the elements is 0.060 eV per atom. The volume is 28.69 Å³/atom. As for the uncorrected energy: -68.160 eV/atom.

The structure belongs to space group P-62m (No. 189); the cell edges are 6.0127, 6.0127 and 5.4991 Å and the angles 90.00°, 90.00° and 120.00°. Symmetry generates all atoms from Cd at (0.0000, 0.0000, 0.0000), Pb at (0.0000, 0.3259, 0.5000) and Pb at (0.3333, 0.6667, 0.0000).



A plane-wave DFT calculation with meta-GGA SCAN was carried out for a PBEsol-optimized structure of Cd2Pb.

The formation energy from the elements is 0.070 eV per atom. The volume is 24.16 Å³/atom. As for the uncorrected energy: -45.466 eV/atom.

The structure belongs to space group I4_1/amd (No. 141, origin choice 2); the cell edges are 4.5721, 4.5721 and 27.7382 Å and the angles 90.00°, 90.00° and 90.00°. Symmetry generates all atoms from Cd at (0.0000, 0.2500, 0.1247), Cd at (0.0000, 0.2500, 0.2966) and Pb at (0.0000, 0.2500, 0.7942).



A plane-wave DFT calculation with meta-GGA SCAN was carried out for a PBEsol-optimized structure of CdPb3.

The formation energy from the elements is 0.092 eV per atom. The volume is 27.97 Å³/atom. As for the uncorrected energy: -64.348 eV/atom.

The structure belongs to space group R-3m (No. 166, hexagonal axes); the cell edges are 10.7316, 10.7316 and 3.3655 Å and the angles 90.00°, 90.00° and 120.00°. Symmetry generates all atoms from Cd at (0.0000, 0.0000, 0.0000) and Pb at (0.0000, 0.5000, 0.0000).



A plane-wave DFT calculation with meta-GGA SCAN was carried out for a PBEsol-optimized structure of CdPb3.

The formation energy from the elements is 0.069 eV per atom. The volume is 27.75 Å³/atom. As for the uncorrected energy: -64.371 eV/atom.

The structure belongs to space group Imm2 (No. 44); the cell edges are 3.5452, 11.1452 and 5.6195 Å and the angles 90.00°, 90.00° and 90.00°. Symmetry generates all atoms from Cd at (0.0000, 0.0000, 0.0000), Pb at (0.0000, 0.2653, 0.4790) and Pb at (0.0000, 0.5000, 0.9964).



A plane-wave DFT calculation with meta-GGA SCAN was carried out for a PBEsol-optimized structure of Cd2Pb.

The formation energy from the elements is 0.093 eV per atom. The volume is 24.45 Å³/atom. As for the uncorrected energy: -45.443 eV/atom.

The structure belongs to space group Cm (No. 8); the cell edges are 12.1469, 3.2240 and 7.7397 Å and the angles 90.00°, 104.54° and 90.00°. Symmetry generates all atoms from Cd at (0.0000, 0.0000, 0.0000), Cd at (0.0577, 0.0000, 0.6096), Cd at (0.1667, 0.5000, 0.3589), Cd at (0.3489, 0.0000, 0.6766), Pb at (0.2167, 0.5000, 0.9329) and Pb at (0.3881, 0.0000, 0.2862).



A plane-wave DFT calculation with meta-GGA SCAN was carried out for a PBEsol-optimized structure of CdPb3.

The formation energy from the elements is 0.073 eV per atom. The volume is 27.85 Å³/atom. As for the uncorrected energy: -64.366 eV/atom.

The structure belongs to space group Pmm2 (No. 25); the cell edges are 3.5688, 5.5707 and 5.6031 Å and the angles 90.00°, 90.00° and 90.00°. Symmetry generates all atoms from Cd at (0.0000, 0.0000, 0.0000), Pb at (0.0000, 0.5000, 0.3680), Pb at (0.5000, 0.0000, 0.5070) and Pb at (0.5000, 0.5000, 0.8793).



A plane-wave DFT calculation with meta-GGA SCAN was carried out for a PBEsol-optimized structure of CdPb3.

The formation energy from the elements is 0.114 eV per atom. The volume is 28.45 Å³/atom. As for the uncorrected energy: -64.325 eV/atom.

The structure belongs to space group Pm-3n (No. 223); the cell edges are 6.1053, 6.1053 and 6.1053 Å and the angles 90.00°, 90.00° and 90.00°. Symmetry generates all atoms from Cd at (0.0000, 0.0000, 0.0000) and Pb at (0.0000, 0.2500, 0.5000).



A plane-wave DFT calculation with meta-GGA SCAN was carried out for a PBEsol-optimized structure of CdPb.

The formation energy from the elements is 0.099 eV per atom. The volume is 26.15 Å³/atom. As for the uncorrected energy: -52.999 eV/atom.

The structure belongs to space group Fd-3m (No. 227, origin choice 2); the cell edges are 7.4795, 7.4795 and 7.4795 Å and the angles 90.00°, 90.00° and 90.00°. Symmetry generates all atoms from Cd at (0.1250, 0.1250, 0.1250) and Pb at (0.1250, 0.1250, 0.6250).



A plane-wave DFT calculation with meta-GGA SCAN was carried out for a PBEsol-optimized structure of CdPb.

The formation energy from the elements is 0.077 eV per atom. The volume is 26.04 Å³/atom. As for the uncorrected energy: -53.020 eV/atom.

The structure belongs to space group Pbcm (No. 57); the cell edges are 10.8218, 9.3570 and 6.1727 Å and the angles 90.00°, 90.00° and 90.00°. Symmetry generates all atoms from Cd at (0.0478, 0.0366, 0.2500), Cd at (0.3671, 0.5887, 0.2500), Cd at (0.4475, 0.2500, 0.0000), Pb at (0.1318, 0.7500, 0.0000), Pb at (0.1888, 0.1677, 0.7500) and Pb at (0.3367, 0.5228, 0.7500).